SrSmRh4: optimized geometry, PBE-GGA.

Cell and atoms, written as POSCAR:
```
SrSmRh4
1.0
0.000 3.840 3.840
3.840 0.000 3.840
3.840 3.840 0.000
Sr Sm Rh
1 1 4
Direct
0.000 0.000 0.000
0.250 0.250 0.250
0.126 0.625 0.625
0.625 0.126 0.625
0.625 0.625 0.126
0.625 0.625 0.625
```

Properties
The space group is F-43m. Its energy of formation from the pure elements is -0.483 eV per atom. The magnetic moment is 0.00 μB per cell.

***

Ce4PdBr5: optimized geometry, PBE-GGA.

Cell and atoms, written as POSCAR:
```
Ce4PdBr5
1.0
10.349 -2.002 0.000
10.349 2.002 0.000
-1.378 0.000 7.646
Ce Pd Br
4 1 5
Direct
0.058 0.058 0.321
0.383 0.383 0.202
0.617 0.617 0.798
0.942 0.942 0.679
0.500 0.500 0.500
0.168 0.168 0.088
0.182 0.182 0.592
0.500 0.500 0.000
0.818 0.818 0.408
0.832 0.832 0.912
```

Properties
The uncorrected energy comes out at -50.1 eV for the cell shown. The space group is C2/m. The magnetic moment is 5.63 μB per cell.

***

NpNb2Al: optimized geometry, PBE-GGA.

Cell and atoms, written as POSCAR:
```
NpNb2Al
1.0
4.533 0.000 0.000
0.000 4.533 0.000
0.000 0.000 3.582
Np Nb Al
1 2 1
Direct
0.000 0.000 0.000
0.000 0.500 0.500
0.500 0.000 0.500
0.500 0.500 0.000
```

Properties
The space group is P4/mmm. Its energy of formation from the pure elements is 0.051 eV per atom. The magnetic moment is 3.01 μB per cell.

***

Sc2Cd3Au3: optimized geometry, PBE-GGA.

Cell and atoms, written as POSCAR:
```
Sc2Cd3Au3
1.0
2.411 1.392 7.860
-2.411 1.392 7.860
0.000 -2.784 7.860
Sc Cd Au
2 3 3
Direct
0.000 0.000 0.000
0.489 0.489 0.489
0.247 0.247 0.247
0.743 0.743 0.743
0.871 0.871 0.871
0.124 0.124 0.124
0.369 0.369 0.369
0.616 0.616 0.616
```

Properties
The space group is R3m. Its energy of formation from the pure elements is -0.504 eV per atom. The magnetic moment is 0.00 μB per cell.

***

Zn2AsAu: optimized geometry, PBE-GGA.

Cell and atoms, written as POSCAR:
```
Zn2AsAu
1.0
3.117 0.000 0.000
0.000 4.647 0.000
-1.547 0.000 5.012
Zn As Au
2 1 1
Direct
0.000 0.000 0.000
0.414 0.500 0.837
0.279 0.000 0.565
0.131 0.500 0.268
```

Properties
The space group is Pm. Its energy of formation from the pure elements is -0.005 eV per atom. The magnetic moment is 0.00 μB per cell.

***

YZnB: optimized geometry, PBE-GGA.

Cell and atoms, written as POSCAR:
```
YZnB
1.0
8.502 0.000 0.000
0.000 3.899 0.000
-1.482 0.000 6.452
Y Zn B
4 4 4
Direct
0.101 0.000 0.301
0.399 0.500 0.699
0.601 0.500 0.301
0.899 0.000 0.699
0.145 0.500 0.936
0.355 0.000 0.064
0.645 0.000 0.936
0.855 0.500 0.064
0.081 0.500 0.584
0.419 0.000 0.416
0.581 0.000 0.584
0.919 0.500 0.416
```

Properties
The space group is C2/m. Its energy of formation from the pure elements is -0.241 eV per atom. The magnetic moment is 0.00 μB per cell.

***

ScNbAs3: optimized geometry, PBE-GGA.

Cell and atoms, written as POSCAR:
```
ScNbAs3
1.0
4.971 0.000 0.000
0.000 4.971 0.000
0.000 0.000 4.971
Sc Nb As
1 1 3
Direct
0.000 0.000 0.000
0.500 0.500 0.500
0.000 0.500 0.500
0.500 0.000 0.500
0.500 0.500 0.000
```

Properties
The space group is Pm-3m. Its energy of formation from the pure elements is 0.054 eV per atom. The magnetic moment is 0.00 μB per cell.

***

Th5Tl2Os: optimized geometry, PBE-GGA.

Cell and atoms, written as POSCAR:
```
Th5Tl2Os
1.0
2.769 -7.951 0.000
2.769 7.951 0.000
0.000 0.000 13.146
Th Tl Os
10 4 2
Direct
0.085 0.915 0.597
0.085 0.915 0.903
0.303 0.697 0.550
0.303 0.697 0.950
0.308 0.692 0.250
0.692 0.308 0.750
0.697 0.303 0.050
0.697 0.303 0.450
0.915 0.085 0.097
0.915 0.085 0.403
0.118 0.882 0.140
0.118 0.882 0.360
0.882 0.118 0.640
0.882 0.118 0.860
0.205 0.795 0.750
0.795 0.205 0.250
```

Properties
The space group is Cmcm. Its energy of formation from the pure elements is 0.273 eV per atom. The magnetic moment is 0.00 μB per cell.

***

| no. | theoretical density (Mg/m³) | D(E_F) (states/eV/f.u.) |
| --- | --- | --- |
| 1 | 9.5 | 3.9 |
| 2 | 5.6 | 25.9 |
| 3 | 10.1 | 5.8 |
| 4 | 10.7 | 4.0 |
| 5 | 9.2 | 0.8 |
| 6 | 5.1 | 1.8 |
| 7 | 4.9 | 3.3 |
| 8 | 10.1 | 9.9 |